# 1
This record from Alexandria via LeMat-Bulk describes an optimized crystal structure of CdGaO2F. The functional is PBE.

Lattice parameters (Å, degrees): 3.897 3.897 3.862 90.00 90.00 90.00
Atoms (fractional coordinates):
Cd 0.000 0.000 0.000
Ga 0.500 0.500 0.500
O 0.000 0.500 0.500
O 0.500 0.000 0.500
F 0.500 0.500 0.000

Computed properties:
Space group: P4/mmm (123)
Calculated total energy (eV/cell): -23.1
Formation energy from raw total energies (eV per atom): -1.470
Total moment (μB per formula unit): 0.00

# 2
This record from Alexandria via LeMat-Bulk describes an optimized crystal structure of Na3Sm. The functional is PBE.

Lattice parameters (Å, degrees): 6.601 6.601 6.601 135.46 135.46 64.81
Atoms (fractional coordinates):
Na 0.000 0.000 0.000
Na 0.250 0.750 0.500
Na 0.750 0.250 0.500
Sm 0.500 0.500 0.000

Computed properties:
Space group: I4/mmm (139)
Formation enthalpy at 0 K (meV/atom): 343
Calculated total energy (eV/cell): -7.3
Total moment (μB per formula unit): 0.00

# 3
This record from Alexandria via LeMat-Bulk describes an optimized crystal structure of LiTi2Ga6. The functional is PBE.

Lattice parameters (Å, degrees): 7.537 7.537 2.957 90.00 90.00 120.52
Atoms (fractional coordinates):
Li 0.000 0.000 0.000
Ti 0.331 0.669 0.000
Ti 0.669 0.331 0.000
Ga 0.002 0.334 0.500
Ga 0.334 0.002 0.500
Ga 0.334 0.334 0.500
Ga 0.666 0.666 0.500
Ga 0.666 0.998 0.500
Ga 0.998 0.666 0.500

Computed properties:
Space group: Cmmm (65)
Formation enthalpy at 0 K (meV/atom): -266
Calculated total energy (eV/cell): -38.3
Total moment (μB per formula unit): 0.00

# 4
This record from Alexandria via LeMat-Bulk describes an optimized crystal structure of TaCr3Cu2S8. The functional is PBE.

Lattice parameters (Å, degrees): 3.479 11.013 13.192 90.00 90.00 90.00
Atoms (fractional coordinates):
Ta 0.000 0.193 0.000
Ta 0.500 0.807 0.500
Cr 0.000 0.201 0.504
Cr 0.000 0.659 0.204
Cr 0.000 0.698 0.715
Cr 0.500 0.302 0.215
Cr 0.500 0.341 0.704
Cr 0.500 0.799 0.004
Cu 0.000 0.518 0.865
Cu 0.000 0.986 0.609
Cu 0.500 0.014 0.109
Cu 0.500 0.482 0.365
S 0.000 0.147 0.184
S 0.000 0.310 0.834
S 0.000 0.381 0.591
S 0.000 0.445 0.245
S 0.000 0.656 0.539
S 0.000 0.728 0.899
S 0.000 0.858 0.127
S 0.000 0.953 0.439
S 0.500 0.047 0.939
S 0.500 0.142 0.627
S 0.500 0.272 0.399
S 0.500 0.344 0.039
S 0.500 0.555 0.745
S 0.500 0.619 0.091
S 0.500 0.690 0.334
S 0.500 0.853 0.684

Computed properties:
Space group: Pmn2_1 (31)
Calculated total energy (eV/cell): -179.3
Excess energy over the best structure of this formula in the dataset (eV per atom): 0.162
Formation energy from raw total energies (eV per atom): -0.551
Total moment (μB per formula unit): 8.75

# 5
This record from Alexandria via LeMat-Bulk describes an optimized crystal structure of LiAg5Cl8. The functional is PBE.

Lattice parameters (Å, degrees): 7.818 7.818 7.818 60.00 60.00 60.00
Atoms (fractional coordinates):
Li 0.000 0.000 0.000
Ag 0.374 0.374 0.374
Ag 0.374 0.374 0.879
Ag 0.374 0.879 0.374
Ag 0.750 0.750 0.750
Ag 0.879 0.374 0.374
Cl 0.129 0.129 0.129
Cl 0.129 0.129 0.614
Cl 0.129 0.614 0.129
Cl 0.148 0.617 0.617
Cl 0.614 0.129 0.129
Cl 0.617 0.148 0.617
Cl 0.617 0.617 0.148
Cl 0.617 0.617 0.617

Computed properties:
Space group: F-43m (216)
Calculated total energy (eV/cell): -39.0
Excess energy over the best structure of this formula in the dataset (eV per atom): 0.006
Formation energy from raw total energies (eV per atom): -0.575
Total moment (μB per formula unit): 0.01

# 6
This record from Alexandria via LeMat-Bulk describes an optimized crystal structure of BaReSe2. The functional is PBE.

Lattice parameters (Å, degrees): 7.554 7.554 7.554 152.25 151.37 40.30
Atoms (fractional coordinates):
Ba 0.000 0.000 0.000
Re 0.240 0.740 0.500
Se 0.628 0.628 0.000
Se 0.815 0.315 0.500

Computed properties:
Space group: Imm2 (44)
Calculated total energy (eV/cell): -22.0
Excess energy over the best structure of this formula in the dataset (eV per atom): 0.326
Formation energy from raw total energies (eV per atom): -0.177
Total moment (μB per formula unit): 0.00

# 7
This record from Alexandria via LeMat-Bulk describes an optimized crystal structure of NpCdPt6. The functional is PBE.

Lattice parameters (Å, degrees): 5.801 5.801 4.736 90.00 90.00 120.00
Atoms (fractional coordinates):
Np 0.000 0.000 0.000
Cd 0.667 0.333 0.500
Pt 0.006 0.503 0.000
Pt 0.169 0.339 0.500
Pt 0.169 0.831 0.500
Pt 0.497 0.503 0.000
Pt 0.497 0.994 0.000
Pt 0.661 0.831 0.500

Computed properties:
Space group: P-6m2 (187)
Formation enthalpy at 0 K (meV/atom): -383
Calculated total energy (eV/cell): -53.2
Total moment (μB per formula unit): 2.32

# 8
This record from Alexandria via LeMat-Bulk describes an optimized crystal structure of Sr3ZnIn2Hg6. The functional is PBE.

Lattice parameters (Å, degrees): 6.574 6.574 9.294 90.00 90.00 120.00
Atoms (fractional coordinates):
Sr 0.000 0.000 0.000
Sr 0.333 0.667 0.617
Sr 0.667 0.333 0.383
Zn 0.000 0.000 0.500
In 0.333 0.667 0.002
In 0.667 0.333 0.998
Hg 0.175 0.350 0.286
Hg 0.175 0.825 0.286
Hg 0.350 0.175 0.714
Hg 0.650 0.825 0.286
Hg 0.825 0.175 0.714
Hg 0.825 0.650 0.714

Computed properties:
Space group: P-3m1 (164)
Formation enthalpy at 0 K (meV/atom): -275
Calculated total energy (eV/cell): -16.9
Total moment (μB per formula unit): 0.00

The highest calculated total energy belongs to which entry?
Na3Sm